Record 1
MgZr2Zn2, relaxed, DFT PBE; ΔH_f (0 K) = 0.232 eV/atom
1.0
3.352 0.000 0.000
0.000 3.352 0.000
1.676 1.676 9.248
Zr Zn Mg
2 2 1
Direct
0.614 0.614 0.772
0.386 0.386 0.228
0.250 0.750 0.500
0.750 0.250 0.500
0.000 0.000 0.000

---

Record 2
LaRu3, relaxed, DFT PBE; ΔH_f (0 K) = 0.682 eV/atom
1.0
-1.162 -3.831 -3.406
5.092 -1.263 -0.316
-0.588 -3.369 3.991
La Ru
2 6
Direct
0.000 0.000 0.000
0.500 0.500 0.500
0.500 0.000 0.750
0.000 0.750 0.500
0.000 0.250 0.500
0.750 0.500 0.000
0.250 0.500 0.000
0.500 0.000 0.250

---

Record 3
ScZnIO2, relaxed, DFT PBE; relative energy among the computed polymorphs = 775 meV per atom; E_form (uncorrected) = -0.48 eV/atom
1.0
4.068 0.000 0.000
0.000 4.068 0.000
0.000 0.000 5.177
I Sc Zn O
1 1 1 2
Direct
0.000 0.000 0.500
0.500 0.500 0.500
0.000 0.000 0.000
0.500 0.000 0.000
0.000 0.500 0.000

---

Record 4
SiAg2S2, relaxed, DFT PBE; relative energy among the computed polymorphs = 158 meV per atom; E_form (uncorrected) = 0.42 eV/atom
1.0
7.257 0.000 0.000
0.000 7.257 0.000
0.000 0.000 3.493
S Ag Si
4 4 2
Direct
0.175 0.675 0.500
0.325 0.175 0.500
0.825 0.325 0.500
0.675 0.825 0.500
0.135 0.365 0.000
0.635 0.135 0.000
0.865 0.635 0.000
0.365 0.865 0.000
0.500 0.500 0.000
0.000 0.000 0.000

---

Record 5
TbSm7Y3, relaxed, DFT PBE; relative energy among the computed polymorphs = 111 meV per atom; ΔH_f (0 K) = 0.240 eV/atom
1.0
5.871 -0.193 -0.247
-2.642 8.038 1.131
-2.642 -0.852 8.073
Sm Tb Y
7 1 3
Direct
0.214 0.212 0.212
0.304 0.013 0.597
0.000 0.500 0.500
0.696 0.403 0.987
0.696 0.987 0.403
0.786 0.788 0.788
0.304 0.597 0.013
0.500 0.500 0.500
0.000 0.796 0.204
0.000 0.204 0.796
0.500 0.000 0.000

---

Record 6
FeRhSe3, relaxed, DFT PBE; relative energy among the computed polymorphs = 0 meV per atom; E_form (uncorrected) = 0.66 eV/atom
1.0
-0.378 -1.568 -4.348
4.133 -2.068 0.386
-2.069 -3.844 1.566
Se Rh Fe
3 1 1
Direct
0.000 0.000 0.500
0.500 0.000 0.000
0.000 0.500 0.000
0.500 0.500 0.500
0.000 0.000 0.000

---

Record 7
SrAsCl, relaxed, DFT PBE; relative energy among the computed polymorphs = 142 meV per atom; E_form (uncorrected) = -0.87 eV/atom
1.0
3.942 0.000 0.000
-1.971 3.414 0.000
0.000 0.000 8.069
Sr As Cl
1 1 1
Direct
0.667 0.333 0.636
0.000 0.000 0.934
0.333 0.667 0.429

---

Record 8
CuSn3Cl, relaxed, DFT PBE; relative energy among the computed polymorphs = 596 meV per atom; E_form (uncorrected) = 0.72 eV/atom
1.0
-0.693 5.101 -1.466
-1.234 -1.593 -4.959
-5.162 -0.304 1.383
Cu Sn Cl
1 3 1
Direct
0.500 0.500 0.500
0.500 0.000 0.000
0.000 0.500 0.000
0.000 0.000 0.500
0.000 0.000 0.000

---

no.,ρ (g cm⁻³),E (eV per atom)
1,5.39,-4.02
2,10.11,-7.51
3,5.22,-4.30
4,5.56,-3.46
5,6.51,-4.95
6,6.59,-4.60
7,3.03,-3.60
8,4.93,-2.87